Entry 1:
Below is Ba2LiZn2 after structural relaxation, with properties calculated at the GGA-PBE level.

**Relative energy among the computed polymorphs**: 0.03 eV per formula unit
**Total moment**: 0.000 μB per cell
**Space-group type**: C2/c

abc: 6.4914 6.5022 9.3848
angles: 102.43 90.00 119.94
Fractional coordinates of all 10 atoms:
Ba 0.5134 0.7094 0.8565
Ba 0.4866 0.2906 0.1435
Ba 0.1960 0.7094 0.3565
Ba 0.8040 0.2906 0.6435
Zn 0.9968 0.2934 0.9992
Zn 0.7034 0.7066 0.5008
Zn 0.0032 0.7066 0.0008
Zn 0.2966 0.2934 0.4992
Li 0.8734 0.0000 0.2500
Li 0.1266 0.0000 0.7500


Entry 2:
Below is BaLi7Zn5 after structural relaxation, with properties calculated at the GGA-PBE level.

**Total moment**: 0.000 μB per cell
**Space-group type**: Imm2

abc: 5.3012 7.3437 7.3437
angles: 81.20 68.84 68.84
Fractional coordinates of all 13 atoms:
Zn 0.0005 0.5010 0.9966
Zn 0.5019 0.9966 0.5010
Zn 0.0005 0.9966 0.5010
Zn 0.5019 0.5010 0.9966
Zn 0.7369 0.7631 0.7631
Li 0.9937 0.6516 0.3609
Li 0.3509 0.6491 0.6491
Li 0.5028 0.7618 0.2326
Li 0.2553 0.2447 0.2447
Li 0.9937 0.3609 0.6516
Li 0.6536 0.3464 0.3464
Li 0.5028 0.2326 0.7618
Ba 0.0054 0.9946 0.9946


Entry 3:
Below is Ba2Li3Zn6 after structural relaxation, with properties calculated at the GGA-PBE level.

**Total moment**: 0.000 μB per cell
**Space-group type**: Cmmm

abc: 4.2137 8.1024 8.1024
angles: 101.20 90.00 90.00
Fractional coordinates of all 11 atoms:
Zn 0.5000 0.6231 0.6231
Zn 0.5000 0.3769 0.3769
Zn 0.5000 0.0619 0.3652
Zn 0.5000 0.6348 0.9381
Zn 0.5000 0.3652 0.0619
Zn 0.5000 0.9381 0.6348
Li 0.0000 0.8010 0.8010
Li 0.5000 0.0000 0.0000
Li 0.0000 0.1990 0.1990
Ba 0.0000 0.2903 0.7097
Ba 0.0000 0.7097 0.2903


Entry 4:
Below is BaLiZn3 after structural relaxation, with properties calculated at the GGA-PBE level.

**Relative energy among the computed polymorphs**: 0.34 eV per formula unit
**Total moment**: 0.000 μB per cell
**Space-group type**: P6_3/mmc

abc: 5.9218 6.8645 6.8644
angles: 119.99 90.00 90.00
Fractional coordinates of all 10 atoms:
Zn 0.7502 0.1972 0.8033
Zn 0.2498 0.8028 0.1967
Zn 0.7502 0.1972 0.3940
Zn 0.2498 0.8028 0.6060
Zn 0.7502 0.6059 0.8029
Zn 0.2498 0.3941 0.1971
Li 0.0000 0.0000 0.0000
Li 0.5000 0.0000 0.0000
Ba 0.7499 0.6669 0.3334
Ba 0.2501 0.3331 0.6666


Entry 5:
Below is BaLi8Zn2 after structural relaxation, with properties calculated at the GGA-PBE level.

**Total moment**: 0.000 μB per cell
**Space-group type**: I4/mmm

abc: 5.6396 5.6396 10.6421
angles: 105.36 105.37 90.00
Fractional coordinates of all 11 atoms:
Ba 0.5000 0.5000 0.0000
Li 0.4112 0.9113 0.3225
Li 0.0887 0.5888 0.6775
Li 0.0887 0.0887 0.6775
Li 0.4111 0.4112 0.3225
Li 0.5889 0.0887 0.6775
Li 0.9113 0.4111 0.3225
Li 0.9113 0.9113 0.3225
Li 0.5888 0.5889 0.6775
Zn 0.7500 0.2500 0.5000
Zn 0.2500 0.7500 0.5000


Entry 6:
Below is BaLiZn2 after structural relaxation, with properties calculated at the GGA-PBE level.

**Relative energy among the computed polymorphs**: 0.06 eV per formula unit
**Total moment**: 0.000 μB per cell
**Space-group type**: Cm

abc: 4.5481 4.5481 6.4179
angles: 69.65 69.65 59.87
Fractional coordinates of all 4 atoms:
Zn 0.0067 0.0067 0.9796
Zn 0.6903 0.6903 0.9298
Li 0.3082 0.3082 0.0759
Ba 0.4947 0.4947 0.5147


no.,total energy (eV/atom),energy of formation (eV per atom)
1,-1.77,-0.108
2,-1.81,-0.138
3,-1.68,-0.117
4,-1.61,-0.076
5,-1.64,0.154
6,-1.75,-0.159